1.
Material: PrNdAgTe3
Method: DFT, PBE
State: optimized geometry

```
PrNdAgTe3
1.0
1.609 7.420 -1.318
-4.083 -5.145 4.031
8.321 -0.397 7.921
Pr Ag Te Nd
2 2 6 2
Cartesian
-1.237 1.138 1.356 Pr
2.924 0.939 5.317 Pr
2.303 -5.123 9.836 Ag
3.545 7.001 0.798 Ag
4.408 -0.476 7.857 Te
4.553 -3.608 10.617 Te
1.294 5.486 0.017 Te
1.439 2.354 2.777 Te
4.356 5.340 2.932 Te
1.491 -3.462 7.702 Te
6.293 3.685 6.086 Nd
-0.446 -1.807 4.548 Nd
```

Results
- space group = Cmcm
- volume (Å³/atom) = 30.606
- VASP energy (eV/atom) = -4.73

***

2.
Material: Tb2NdTl3AgPt2
Method: DFT, PBE
State: optimized geometry

```
Tb2NdTl3AgPt2
1.0
-0.459 -1.594 3.459
7.873 0.498 1.275
-4.818 6.008 2.130
Tl Pt Nd Tb Ag
3 2 1 2 1
Cartesian
-3.745 3.602 3.290 Tl
5.526 -0.424 2.666 Tl
0.586 0.940 2.638 Tl
-0.859 3.383 3.573 Pt
3.447 1.514 3.283 Pt
1.798 3.830 2.005 Nd
5.885 2.973 2.152 Tb
-1.573 6.212 2.655 Tb
0.004 0.009 0.005 Ag
```

Results
- space group = Amm2
- volume (Å³/atom) = 23.494
- VASP energy (eV/atom) = -4.66

***

3.
Material: TbNd2Tl3AgPt2
Method: DFT, PBE
State: optimized geometry

```
TbNd2Tl3AgPt2
1.0
3.897 0.000 0.000
0.000 6.918 4.009
0.000 -6.918 4.009
Tl Pt Ag Nd Tb
3 2 1 2 1
Cartesian
1.949 0.000 2.141 Tl
1.949 1.834 6.944 Tl
1.949 -1.834 6.944 Tl
1.949 2.259 4.022 Pt
1.949 -2.259 4.022 Pt
0.000 0.000 8.001 Ag
0.000 -2.854 1.657 Nd
0.000 2.854 1.657 Nd
0.000 0.000 4.696 Tb
```

Results
- space group = Amm2
- volume (Å³/atom) = 24.017
- VASP energy (eV/atom) = -4.68

***

4.
Material: RbNdAg3Se4
Method: DFT, PBE
State: optimized geometry

```
RbNdAg3Se4
1.0
-5.002 -4.269 -1.523
3.522 -2.234 -5.307
2.852 -4.728 3.883
Se Nd Ag Rb
4 1 3 1
Cartesian
2.202 -3.808 -3.523 Se
-2.354 -4.895 -1.500 Se
1.053 -8.616 -2.261 Se
1.844 -5.141 1.389 Se
0.000 0.000 0.000 Nd
-2.501 -2.134 -0.761 Ag
1.761 -1.117 -2.654 Ag
1.426 -2.364 1.941 Ag
0.686 -5.615 -1.474 Rb
```

Results
- space group = P-43m
- volume (Å³/atom) = 34.169
- VASP energy (eV/atom) = -3.73

***

5.
Material: RbNdAgSe3
Method: DFT, PBE
State: optimized geometry

```
RbNdAgSe3
1.0
2.124 -7.706 0.000
2.124 7.706 0.000
0.000 0.000 11.086
Nd Se Rb Ag
2 6 2 2
Cartesian
0.000 0.000 5.543 Nd
0.000 0.000 0.000 Nd
2.124 -6.624 8.315 Se
2.124 6.624 2.772 Se
2.124 -1.997 10.493 Se
2.124 1.997 0.593 Se
2.124 -1.997 6.136 Se
2.124 1.997 4.950 Se
2.124 -3.828 2.772 Rb
2.124 3.828 8.315 Rb
2.124 -0.535 8.315 Ag
2.124 0.535 2.772 Ag
```

Results
- space group = Cmcm
- volume (Å³/atom) = 30.248
- VASP energy (eV/atom) = -4.28

***

6.
Material: RbNdAgTe3
Method: DFT, PBE
State: optimized geometry

```
RbNdAgTe3
1.0
2.200 -8.366 0.000
2.200 8.366 0.000
0.000 0.000 11.678
Te Rb Nd Ag
6 2 2 2
Cartesian
2.200 1.219 2.920 Te
2.200 -1.219 8.759 Te
2.200 -6.164 6.465 Te
2.200 6.164 5.213 Te
2.200 6.164 0.626 Te
2.200 -6.164 11.052 Te
2.200 -4.170 2.920 Rb
2.200 4.170 8.759 Rb
2.200 0.000 5.839 Nd
2.200 0.000 0.000 Nd
2.200 7.777 2.920 Ag
2.200 -7.777 8.759 Ag
```

Results
- space group = Cmcm
- volume (Å³/atom) = 35.826
- VASP energy (eV/atom) = -3.92

***

7.
Material: Nd2AgS3
Method: DFT, PBE
State: optimized geometry

```
Nd2AgS3
1.0
10.512 0.000 0.000
0.000 3.962 0.000
0.000 0.000 13.296
S Nd Ag
12 8 4
Cartesian
2.447 0.990 4.743 S
1.128 0.990 7.970 S
6.384 0.990 11.974 S
0.429 2.971 1.434 S
5.685 2.971 5.214 S
4.827 0.990 8.083 S
9.384 2.971 5.326 S
4.128 2.971 1.322 S
2.809 2.971 11.391 S
10.083 0.990 11.862 S
8.065 2.971 8.554 S
7.703 0.990 1.905 S
3.023 2.971 6.861 Nd
5.011 0.990 3.209 Nd
5.501 2.971 10.087 Nd
10.267 0.990 3.439 Nd
2.233 0.990 0.213 Nd
0.245 2.971 9.857 Nd
8.279 2.971 13.084 Nd
7.489 0.990 6.436 Nd
2.871 0.990 9.771 Ag
8.127 0.990 10.173 Ag
7.641 2.971 3.525 Ag
2.385 2.971 3.123 Ag
```

Results
- space group = Pnma
- volume (Å³/atom) = 23.071
- excess energy over the best structure of this formula in the dataset (kJ/mol of formula units) = 9

***

8.
Material: NdAg2S2
Method: DFT, PBE
State: optimized geometry

```
NdAg2S2
1.0
4.128 0.000 0.000
-2.064 3.575 0.000
0.000 0.000 16.676
Ag S Nd
4 4 2
Cartesian
0.000 2.383 13.900 Ag
0.000 2.383 11.114 Ag
2.064 1.192 2.776 Ag
2.064 1.192 5.562 Ag
2.064 1.192 15.102 S
0.000 2.383 6.764 S
0.000 2.383 1.574 S
2.064 1.192 9.913 S
0.000 0.000 0.000 Nd
0.000 0.000 8.338 Nd
```

Results
- space group = P6_3/mmc
- volume (Å³/atom) = 24.608
- excess energy over the best structure of this formula in the dataset (kJ/mol of formula units) = 29

***

9.
Material: Nd2AgS3
Method: DFT, PBE
State: optimized geometry

```
Nd2AgS3
1.0
8.747 0.000 0.000
0.000 3.958 0.000
0.000 0.000 15.818
S Nd Ag
12 8 4
Cartesian
3.223 2.969 6.656 S
1.150 0.990 14.565 S
5.663 2.969 4.278 S
7.597 2.969 1.253 S
5.218 2.969 14.255 S
1.289 2.969 3.631 S
7.457 0.990 12.187 S
0.845 2.969 9.472 S
7.902 0.990 6.346 S
5.523 0.990 9.162 S
3.528 0.990 1.563 S
3.084 0.990 11.540 S
7.819 0.990 3.462 Nd
2.714 0.990 8.684 Nd
0.928 2.969 12.357 Nd
6.033 2.969 7.134 Nd
1.660 2.969 0.775 Nd
3.446 0.990 4.448 Nd
7.087 0.990 15.043 Nd
5.301 2.969 11.371 Nd
5.095 2.969 1.655 Ag
0.721 2.969 6.255 Ag
8.025 0.990 9.564 Ag
3.652 0.990 14.164 Ag
```

Results
- space group = Pnma
- volume (Å³/atom) = 22.818
- excess energy over the best structure of this formula in the dataset (kJ/mol of formula units) = 0

***

10.
Material: NdAg2S2
Method: DFT, PBE
State: optimized geometry

```
NdAg2S2
1.0
4.054 0.000 0.000
-2.027 3.511 0.000
0.000 0.000 8.116
Ag S Nd
2 2 1
Cartesian
2.027 1.170 3.171 Ag
0.000 2.341 4.944 Ag
0.000 2.341 1.596 S
2.027 1.170 6.519 S
0.000 0.000 0.000 Nd
```

Results
- space group = P-3m1
- volume (Å³/atom) = 23.102
- excess energy over the best structure of this formula in the dataset (kJ/mol of formula units) = 0

***

| no. | spin magnetization (μB per formula unit) |
| --- | --- |
| 1 | 0.0 |
| 2 | 0.0 |
| 3 | 0.0 |
| 4 | 0.0 |
| 5 | 0.0 |
| 6 | 0.0 |
| 7 | 0.0 |
| 8 | 0.0 |
| 9 | 0.1 |
| 10 | 0.0 |